# ReOsSeBr2, relaxed, DFT PBE
# Polymorph energy (0 for the lowest one) (meV per atom): 113
# Total magnetization (μB per atom): 0.68
# V (Å³/cell): 128
data_ReOsSeBr2
_space_group_name_H-M_alt 'P 4/m m m'
_space_group_IT_number 123
_space_group_name_Hall '-P 4 2'
_cell_length_a 5.1817
_cell_length_b 5.1817
_cell_length_c 4.7487
_cell_angle_alpha 90.00
_cell_angle_beta 90.00
_cell_angle_gamma 90.00
loop_
_atom_site_label
_atom_site_type_symbol
_atom_site_fract_x
_atom_site_fract_y
_atom_site_fract_z
Re1 Re 0.0000 0.0000 0.0000
Os1 Os 0.5000 0.5000 0.5000
Se1 Se 0.0000 0.0000 0.5000
Br1 Br 0.0000 0.5000 0.0000


# LuMgPaTc, relaxed, DFT PBE
# Total magnetization (μB per atom): 0.00
# Energy of formation from the pure elements (meV/atom): 57
# V (Å³/cell): 349
data_LuMgPaTc
_space_group_name_H-M_alt 'F -4 3 m'
_space_group_IT_number 216
_space_group_name_Hall 'F -4 2 3'
_cell_length_a 7.0392
_cell_length_b 7.0392
_cell_length_c 7.0392
_cell_angle_alpha 90.00
_cell_angle_beta 90.00
_cell_angle_gamma 90.00
loop_
_atom_site_label
_atom_site_type_symbol
_atom_site_fract_x
_atom_site_fract_y
_atom_site_fract_z
Lu1 Lu 0.0000 0.0000 0.0000
Mg1 Mg 0.2500 0.2500 0.7500
Pa1 Pa 0.0000 0.0000 0.5000
Tc1 Tc 0.2500 0.2500 0.2500


# Ho2TiSi3Pt4, relaxed, DFT PBE
# VASP energy (eV per atom): -6.8311
# Total magnetization (μB per atom): 0.00
# V (Å³/cell): 177
data_Ho2TiSi3Pt4
_space_group_name_H-M_alt 'P -4 m 2'
_space_group_IT_number 115
_space_group_name_Hall 'P -4 -2'
_cell_length_a 4.0994
_cell_length_b 4.0994
_cell_length_c 10.5542
_cell_angle_alpha 90.00
_cell_angle_beta 90.00
_cell_angle_gamma 90.00
loop_
_atom_site_label
_atom_site_type_symbol
_atom_site_fract_x
_atom_site_fract_y
_atom_site_fract_z
Ho1 Ho 0.0000 0.5000 0.2386
Ti1 Ti 0.0000 0.0000 0.5000
Si1 Si 0.0000 0.5000 0.8647
Si2 Si 0.5000 0.5000 0.5000
Pt1 Pt 0.0000 0.0000 0.0000
Pt2 Pt 0.0000 0.5000 0.6415
Pt3 Pt 0.5000 0.5000 0.0000


# Pm3Sm6YHo2, relaxed, DFT PBE
# Total magnetization (μB per atom): 0.00
# Energy of formation from the pure elements (meV/atom): 15
# V (Å³/cell): 800
data_Pm3Sm6YHo2
_space_group_name_H-M_alt 'C 1 2/m 1'
_space_group_IT_number 12
_space_group_name_Hall '-C 2y'
_cell_length_a 6.2632
_cell_length_b 10.8473
_cell_length_c 11.9614
_cell_angle_alpha 90.00
_cell_angle_beta 100.04
_cell_angle_gamma 90.00
loop_
_atom_site_label
_atom_site_type_symbol
_atom_site_fract_x
_atom_site_fract_y
_atom_site_fract_z
Pm1 Pm 0.0000 0.0000 0.0000
Pm2 Pm 0.0000 0.3333 0.0000
Sm1 Sm 0.2487 0.0000 0.7469
Sm2 Sm 0.2500 0.1671 0.2531
Y1 Y 0.0000 0.5000 0.5000
Ho1 Ho 0.0000 0.1666 0.5000


# Bi3IO, relaxed, DFT PBE
# Polymorph energy (0 for the lowest one) (meV per atom): 1415
# Total magnetization (μB per atom): 0.00
# V (Å³/cell): 207
data_Bi3IO
_space_group_name_H-M_alt 'P m -3 m'
_space_group_IT_number 221
_space_group_name_Hall '-P 4 2 3'
_cell_length_a 5.9172
_cell_length_b 5.9172
_cell_length_c 5.9172
_cell_angle_alpha 90.00
_cell_angle_beta 90.00
_cell_angle_gamma 90.00
loop_
_atom_site_label
_atom_site_type_symbol
_atom_site_fract_x
_atom_site_fract_y
_atom_site_fract_z
Bi1 Bi 0.0000 0.0000 0.5000
I1 I 0.0000 0.0000 0.0000
O1 O 0.5000 0.5000 0.5000


# ReNi2Rh5, relaxed, DFT PBE
# Total magnetization (μB per atom): 0.00
# Energy of formation from the pure elements (meV/atom): 125
# V (Å³/cell): 445
data_ReNi2Rh5
_space_group_name_H-M_alt 'I 4/m c m'
_space_group_IT_number 140
_space_group_name_Hall '-I 4 2c'
_cell_length_a 6.3975
_cell_length_b 6.3975
_cell_length_c 10.8622
_cell_angle_alpha 90.00
_cell_angle_beta 90.00
_cell_angle_gamma 90.00
loop_
_atom_site_label
_atom_site_type_symbol
_atom_site_fract_x
_atom_site_fract_y
_atom_site_fract_z
Re1 Re 0.0000 0.0000 0.2500
Ni1 Ni 0.1371 0.3629 0.0000
Rh1 Rh 0.0000 0.0000 0.0000
Rh2 Rh 0.1523 0.3477 0.3400


# Sc6Zn5Fe, relaxed, DFT PBE
# Total magnetization (μB per atom): 0.00
# Energy of formation from the pure elements (meV/atom): -337
# V (Å³/cell): 435
data_Sc6Zn5Fe
_space_group_name_H-M_alt 'C 1 2/m 1'
_space_group_IT_number 12
_space_group_name_Hall '-C 2y'
_cell_length_a 14.6685
_cell_length_b 6.7004
_cell_length_c 4.6613
_cell_angle_alpha 90.00
_cell_angle_beta 108.38
_cell_angle_gamma 90.00
loop_
_atom_site_label
_atom_site_type_symbol
_atom_site_fract_x
_atom_site_fract_y
_atom_site_fract_z
Sc1 Sc 0.0000 0.2326 0.0000
Sc2 Sc 0.1593 0.2395 0.6589
Zn1 Zn 0.0000 0.5000 0.5000
Zn2 Zn 0.1668 0.5000 0.1665
Zn3 Zn 0.1733 0.0000 0.1729
Fe1 Fe 0.0000 0.0000 0.5000


# Pu2CuSb2, relaxed, DFT PBE
# VASP energy (eV per atom): -8.6787
# Total magnetization (μB per atom): 2.19
# V (Å³/cell): 532
data_Pu2CuSb2
_space_group_name_H-M_alt 'I b a m'
_space_group_IT_number 72
_space_group_name_Hall '-I 2 2c'
_cell_length_a 6.4599
_cell_length_b 12.9071
_cell_length_c 6.3813
_cell_angle_alpha 90.00
_cell_angle_beta 90.00
_cell_angle_gamma 90.00
loop_
_atom_site_label
_atom_site_type_symbol
_atom_site_fract_x
_atom_site_fract_y
_atom_site_fract_z
Pu1 Pu 0.2231 0.1348 0.0000
Cu1 Cu 0.0000 0.5000 0.2500
Sb1 Sb 0.2352 0.3797 0.0000


# Ga3RhO, relaxed, DFT PBE
# Polymorph energy (0 for the lowest one) (meV per atom): 180
# Total magnetization (μB per atom): 0.00
# V (Å³/cell): 104
data_Ga3RhO
_space_group_name_H-M_alt 'P m -3 m'
_space_group_IT_number 221
_space_group_name_Hall '-P 4 2 3'
_cell_length_a 4.7041
_cell_length_b 4.7041
_cell_length_c 4.7041
_cell_angle_alpha 90.00
_cell_angle_beta 90.00
_cell_angle_gamma 90.00
loop_
_atom_site_label
_atom_site_type_symbol
_atom_site_fract_x
_atom_site_fract_y
_atom_site_fract_z
Ga1 Ga 0.0000 0.0000 0.5000
Rh1 Rh 0.0000 0.0000 0.0000
O1 O 0.5000 0.5000 0.5000


# Sc3Au5O12, relaxed, DFT PBE
# VASP energy (eV per atom): -5.6859
# Total magnetization (μB per atom): 0.00
# V (Å³/cell): 2100
data_Sc3Au5O12
_space_group_name_H-M_alt 'I a -3 d'
_space_group_IT_number 230
_space_group_name_Hall '-I 4bd 2c 3'
_cell_length_a 12.8060
_cell_length_b 12.8060
_cell_length_c 12.8060
_cell_angle_alpha 90.00
_cell_angle_beta 90.00
_cell_angle_gamma 90.00
loop_
_atom_site_label
_atom_site_type_symbol
_atom_site_fract_x
_atom_site_fract_y
_atom_site_fract_z
Sc1 Sc 0.0000 0.2500 0.1250
Au1 Au 0.0000 0.0000 0.0000
Au2 Au 0.0000 0.2500 0.3750
O1 O 0.0064 0.0624 0.6533


# SmCo5As3, relaxed, DFT PBE
# Total magnetization (μB per atom): 0.00
# Energy of formation from the pure elements (meV/atom): -460
# V (Å³/cell): 520
data_SmCo5As3
_space_group_name_H-M_alt 'C m c m'
_space_group_IT_number 63
_space_group_name_Hall '-C 2c 2'
_cell_length_a 3.7340
_cell_length_b 11.8750
_cell_length_c 11.7273
_cell_angle_alpha 90.00
_cell_angle_beta 90.00
_cell_angle_gamma 90.00
loop_
_atom_site_label
_atom_site_type_symbol
_atom_site_fract_x
_atom_site_fract_y
_atom_site_fract_z
Sm1 Sm 0.0000 0.1629 0.2500
Co1 Co 0.0000 0.0000 0.0000
Co2 Co 0.0000 0.1944 0.5691
Co3 Co 0.0000 0.4468 0.1420
As1 As 0.0000 0.1079 0.7500
As2 As 0.0000 0.3807 0.5439


# YMgRh2, relaxed, DFT PBE
# Total magnetization (μB per atom): 0.00
# Energy of formation from the pure elements (meV/atom): -306
# V (Å³/cell): 225
data_YMgRh2
_space_group_name_H-M_alt 'R -3 m'
_space_group_IT_number 166
_space_group_name_Hall '-R 3 2"'
_cell_length_a 3.2823
_cell_length_b 3.2823
_cell_length_c 24.1445
_cell_angle_alpha 90.00
_cell_angle_beta 90.00
_cell_angle_gamma 120.00
loop_
_atom_site_label
_atom_site_type_symbol
_atom_site_fract_x
_atom_site_fract_y
_atom_site_fract_z
Y1 Y 0.0000 0.0000 0.0000
Mg1 Mg 0.0000 0.0000 0.5000
Rh1 Rh 0.0000 0.0000 0.2473


> Look up the total magnetization of the fourth one.

0.00 μB per atom


> The lowest V belongs to which entry?

Ga3RhO


> Which of these has the lowest V?

Ga3RhO